Below is Hf2In2Pd3 after structural relaxation, with properties calculated at the PBE level.

Cell lengths 4.654, 4.671, 7.887 Å; angles 90.26, 106.16, 120.45 degrees
Fractional positions:
1 In 0.737 0.869 0.606
2 In 0.263 0.131 0.394
3 Pd 0.517 0.259 0.777
4 Pd 0.000 0.000 0.000
5 Pd 0.483 0.741 0.223
6 Hf 0.761 0.381 0.143
7 Hf 0.239 0.619 0.857

Density in g/cm³: 10.77
ΔE_f in meV per atom: -522.6
Total magnetic moment in μB/cell: 0.000